(1)
Density functional theory data (GGA-PBE) for FeCu6GeS8 after structural relaxation.

```
16
Lattice="7.4223 0.0000 0.0000 3.7112 6.4279 0.0000 3.7112 2.1426 6.0603" Properties=species:S:1:pos:R:3 pbc="T T T"
Fe 0.0000 0.0000 0.0000
Cu 9.3154 5.3783 6.0297
Cu 12.9516 7.4776 3.0608
Cu 11.1335 4.3286 3.0608
Cu 11.1335 8.5273 6.0297
Cu 12.9516 5.3783 6.0297
Cu 9.3154 7.4776 3.0608
Ge 7.4223 4.2853 3.0302
S 11.1335 6.4279 2.2068
S 7.4223 4.2853 5.3020
S 13.0429 7.5303 5.3247
S 5.5674 3.2143 2.2729
S 9.2242 7.5303 5.3247
S 9.2773 3.2143 2.2729
S 11.1335 4.2232 5.3247
S 7.4223 6.4272 2.2729
```

N(E_F) = 9.0 states/eV/cell
formation energy (no corrections) = -0.310 eV per atom

=====

(2)
Density functional theory data (GGA-PBE) for MgUGaGe after structural relaxation.

```
4
Lattice="4.8633 0.0000 0.0000 2.4316 4.2117 0.0000 2.4316 1.4039 3.9708" Properties=species:S:1:pos:R:3 pbc="T T T"
Ge 2.4316 1.4039 0.9927
U 0.0000 0.0000 0.0000
Mg 4.8633 2.8078 1.9854
Ga 7.2949 4.2117 2.9781
```

N(E_F) = 6.9 states/eV/cell
energy of formation = -0.089 eV per atom

=====

(3)
Density functional theory data (GGA-PBE) for SrU2NiN4 after structural relaxation.

```
16
Lattice="3.5276 0.0000 0.0000 -1.7638 5.7157 0.0000 0.0000 0.0000 11.3626" Properties=species:S:1:pos:R:3 pbc="T T T"
Sr 0.0000 1.1447 8.5219
Sr 1.7638 4.5710 2.8406
U 0.0000 4.2303 6.3483
U 1.7638 1.4854 0.6670
U 1.7638 1.4854 5.0143
U 0.0000 4.2303 10.6956
Ni 1.7638 3.7785 8.5219
Ni 0.0000 1.9372 2.8406
N 0.0000 2.9486 1.1418
N 1.7638 2.7671 6.8231
N 1.7638 2.7671 10.2208
N 0.0000 2.9486 4.5395
N 0.0000 0.0000 5.6813
N 0.0000 0.0000 0.0000
N 0.0000 4.8662 8.5219
N 1.7638 0.8495 2.8406
```

N(E_F) = 9.3 states/eV/cell
formation energy (no corrections) = -1.118 eV per atom

=====

(4)
Density functional theory data (GGA-PBE) for PaTi2Nb after structural relaxation.

```
4
Lattice="-1.3571 -0.1165 -3.0481 1.9861 -2.5659 -0.7861 -4.7675 -4.3921 2.2904" Properties=species:S:1:pos:R:3 pbc="T T T"
Nb 0.3145 -1.3412 -1.9171
Pa -2.0692 -3.5372 -0.7719
Ti -3.6821 -3.3921 1.7690
Ti -1.0854 -0.9999 0.5215
```

N(E_F) = 7.3 states/eV/cell
energy of formation = 0.116 eV per atom
E above lowest polymorph = 0.112 eV per atom

=====

> What is the N(E_F) in the second record?

6.9 states/eV/cell

=====

> What is the N(E_F) in the fourth record?

7.3 states/eV/cell

=====

> Number 3 is which compound?

SrU2NiN4